VASP calculation (SCAN) on a crystal of RbSn2Pb2 relaxed with PBEsol.

Unit cell a=9.368 b=9.368 c=3.617 alpha=90.00 beta=90.00 gamma=90.00
Atoms (fractional coordinates):
Rb 0.000 0.000 0.000
Rb 0.500 0.500 0.000
Sn 0.153 0.347 0.500
Sn 0.347 0.847 0.500
Sn 0.653 0.153 0.500
Sn 0.847 0.653 0.500
Pb 0.134 0.634 0.000
Pb 0.366 0.134 0.000
Pb 0.634 0.866 0.000
Pb 0.866 0.366 0.000

Calculated values
Spin magnetization = 0.00 μB/atom
SG = P4/mbm
ΔE_f = -0.4 eV/f.u.

=====

VASP calculation (SCAN) on a crystal of TaTeMo2 relaxed with PBEsol.

Unit cell a=8.482 b=8.482 c=8.482 alpha=21.51 beta=21.51 gamma=21.51
Atoms (fractional coordinates):
Ta 0.000 0.000 0.000
Te 0.243 0.243 0.243
Mo 0.487 0.487 0.487
Mo 0.746 0.746 0.746

Calculated values
Spin magnetization = 0.00 μB/atom
SG = R3m
Formation energy from raw total energies = 381 meV/atom

=====

VASP calculation (SCAN) on a crystal of TmMn4Cu3O12 relaxed with PBEsol.

Unit cell a=6.194 b=6.194 c=6.194 alpha=109.47 beta=109.47 gamma=109.47
Atoms (fractional coordinates):
Tm 0.000 0.000 0.000
Mn 0.000 0.000 0.500
Mn 0.000 0.500 0.000
Mn 0.500 0.000 0.000
Mn 0.500 0.500 0.500
Cu 0.000 0.500 0.500
Cu 0.500 0.000 0.500
Cu 0.500 0.500 0.000
O 0.121 0.297 0.824
O 0.176 0.473 0.297
O 0.176 0.879 0.703
O 0.297 0.176 0.473
O 0.297 0.824 0.121
O 0.473 0.297 0.176
O 0.527 0.703 0.824
O 0.703 0.176 0.879
O 0.703 0.824 0.527
O 0.824 0.121 0.297
O 0.824 0.527 0.703
O 0.879 0.703 0.176

Calculated values
Spin magnetization = 0.50 μB/atom
SG = Im-3
Formation energy from raw total energies = -2006 meV/atom

=====

Q: Among the records above, which one has the highest spin magnetization?
A: TmMn4Cu3O12